(1)
PBE-GGA InPPtO, relaxed; SG = P4/nmm (129); total DFT energy (no corrections) = -5.366 eV/atom
1.0
4.029 0.000 0.000
0.000 4.029 0.000
0.000 0.000 8.552
In P Pt O
2 2 2 2
direct
0.250 0.250 0.113
0.750 0.750 0.887
0.250 0.250 0.656
0.750 0.750 0.344
0.250 0.750 0.500
0.750 0.250 0.500
0.250 0.750 0.000
0.750 0.250 0.000

=====

(2)
PBE-GGA InPPtO, relaxed; SG = Pmc2_1 (26); total DFT energy (no corrections) = -5.192 eV/atom
1.0
3.260 0.000 0.000
0.000 6.918 0.000
0.000 0.000 6.637
In P Pt O
2 2 2 2
direct
0.000 0.228 0.000
0.000 0.772 0.500
0.000 0.135 0.376
0.000 0.865 0.876
0.500 0.254 0.575
0.500 0.746 0.075
0.500 0.379 0.872
0.500 0.621 0.372